The following is a PBE calculation of BeCdAs2Se after structural relaxation, from Alexandria via LeMat-Bulk.

V (Å³/atom): 20.3
Space group: No. 123
Density (g cm⁻³): 5.74
Formation energy without anion corrections (eV per atom): 0.395
E_tot (eV per formula unit): -15.45

Cell and atoms, written as CIF:
```
data_BeCdAs2Se
_chemical_formula_sum 'Be1 Cd1 As2 Se1'
_cell_length_a 4.397
_cell_length_b 4.397
_cell_length_c 5.241
_cell_angle_alpha 90.00
_cell_angle_beta 90.00
_cell_angle_gamma 90.00
_space_group_name_H-M_alt 'P 1'
_space_group_IT_number 1
_space_group_name_Hall 'P 1'
loop_
_atom_site_label
_atom_site_type_symbol
_atom_site_fract_x
_atom_site_fract_y
_atom_site_fract_z
Be1 Be 0.000 0.000 0.000
Cd1 Cd 0.500 0.500 0.500
As1 As 0.000 0.500 0.000
As2 As 0.500 0.000 0.000
Se1 Se 0.000 0.000 0.500
```